First-principles (GGA-PBE) data for a relaxed CrFe2Tc crystal, as listed in Alexandria.

Values from the calculation:
Formation energy from the elements   0.10 eV per atom
Symmetry   No. 139
DOS at the Fermi energy   4.2 states/eV/cell
Density   9128 kg/m³

Structure (POSCAR):
```
CrFe2Tc
1.0
-1.804 1.804 3.657
1.804 -1.804 3.657
1.804 1.804 -3.657
Cr Fe Tc
1 2 1
direct
0.000 0.000 0.000 Cr
0.250 0.750 0.500 Fe
0.750 0.250 0.500 Fe
0.500 0.500 0.000 Tc
```